The following is a PBE-GGA calculation of a relaxed structure of SmThSc5, from Alexandria via LeMat-Bulk.

Unit cell a=6.1724 b=6.1724 c=10.7166 alpha=103.26 beta=103.26 gamma=96.44
Fractional positions:
Sm: 0.0000 0.5000 0.0000
Sm: 0.5000 0.0000 0.5000
Th: 0.2404 0.7596 0.7500
Th: 0.7596 0.2404 0.2500
Sc: 0.0484 0.1991 0.6631
Sc: 0.1991 0.0484 0.1631
Sc: 0.2303 0.4264 0.4638
Sc: 0.4149 0.5851 0.2500
Sc: 0.4264 0.2303 0.9638
Sc: 0.5736 0.7697 0.0362
Sc: 0.5851 0.4149 0.7500
Sc: 0.7697 0.5736 0.5362
Sc: 0.8009 0.9516 0.8369
Sc: 0.9516 0.8009 0.3369

Values from the calculation:
Space-group type   C2/c (15)
Crystal system   monoclinic
Formation energy from the elements   9.4 kJ per mole of atoms

The following is a PBE-GGA calculation of a relaxed structure of RhW2Cl, from Alexandria via LeMat-Bulk.

Unit cell a=2.8532 b=4.6045 c=9.2169 alpha=90.00 beta=90.00 gamma=90.00
Fractional positions:
Rh: 0.0000 0.0000 0.0000
Rh: 0.5000 0.5000 0.5000
W: 0.0000 0.0000 0.5351
W: 0.0000 0.5000 0.7541
W: 0.5000 0.0000 0.2541
W: 0.5000 0.5000 0.0351
Cl: 0.0000 0.5000 0.2520
Cl: 0.5000 0.0000 0.7520

Values from the calculation:
Space-group type   Imm2 (44)
Crystal system   orthorhombic
Formation energy without anion corrections   0.569 eV/atom

The following is a PBE-GGA calculation of a relaxed structure of Ce2InS5, from Alexandria via LeMat-Bulk.

Unit cell a=7.6688 b=11.5636 c=3.9312 alpha=90.00 beta=90.00 gamma=90.00
Fractional positions:
Ce: 0.0315 0.1746 0.0000
Ce: 0.4685 0.6746 0.0000
Ce: 0.5315 0.3254 0.0000
Ce: 0.9685 0.8254 0.0000
In: 0.0000 0.5000 0.5000
In: 0.5000 0.0000 0.5000
S: 0.0000 0.0000 0.5000
S: 0.1731 0.4059 0.0000
S: 0.1799 0.6996 0.5000
S: 0.3201 0.1996 0.5000
S: 0.3269 0.9059 0.0000
S: 0.5000 0.5000 0.5000
S: 0.6731 0.0941 0.0000
S: 0.6799 0.8004 0.5000
S: 0.8201 0.3004 0.5000
S: 0.8269 0.5941 0.0000

Values from the calculation:
Space-group type   Pbam (55)
Crystal system   orthorhombic
Formation energy without anion corrections   -1.470 eV/atom

The following is a PBE-GGA calculation of a relaxed structure of MgNb2Cr, from Alexandria via LeMat-Bulk.

Unit cell a=2.9820 b=2.9820 c=28.9514 alpha=90.00 beta=90.00 gamma=120.00
Fractional positions:
Mg: 0.0000 0.0000 0.0000
Mg: 0.3333 0.6667 0.6667
Mg: 0.6667 0.3333 0.3333
Nb: 0.0000 0.0000 0.1005
Nb: 0.0000 0.0000 0.8995
Nb: 0.3333 0.6667 0.5662
Nb: 0.3333 0.6667 0.7672
Nb: 0.6667 0.3333 0.2328
Nb: 0.6667 0.3333 0.4338
Cr: 0.0000 0.0000 0.5000
Cr: 0.3333 0.6667 0.1667
Cr: 0.6667 0.3333 0.8333

Values from the calculation:
Space-group type   R-3m (166)
Crystal system   trigonal
Formation energy from the elements   52.1 kJ per mole of atoms

The following is a PBE-GGA calculation of a relaxed structure of AcBePdN, from Alexandria via LeMat-Bulk.

Unit cell a=4.0171 b=4.0171 c=8.1707 alpha=90.00 beta=90.00 gamma=90.00
Fractional positions:
Ac: 0.2500 0.2500 0.1678
Ac: 0.7500 0.7500 0.8322
Be: 0.2500 0.2500 0.6549
Be: 0.7500 0.7500 0.3451
Pd: 0.2500 0.7500 0.5000
Pd: 0.7500 0.2500 0.5000
N: 0.2500 0.2500 0.8517
N: 0.7500 0.7500 0.1483

Values from the calculation:
Space-group type   P4/nmm (129)
Crystal system   tetragonal
Formation energy without anion corrections   -0.966 eV/atom

The following is a PBE-GGA calculation of a relaxed structure of La6Sb2Te3S, from Alexandria via LeMat-Bulk.

Unit cell a=10.1722 b=10.1722 c=9.1194 alpha=103.62 beta=103.62 gamma=25.62
Fractional positions:
La: 0.0008 0.0008 0.2792
La: 0.3324 0.3324 0.9204
La: 0.3469 0.3469 0.4205
La: 0.6531 0.6531 0.5795
La: 0.6676 0.6676 0.0796
La: 0.9992 0.9992 0.7208
Sb: 0.1652 0.1652 0.8317
Sb: 0.8348 0.8348 0.1683
Te: 0.1714 0.1714 0.3364
Te: 0.5000 0.5000 0.0000
Te: 0.8286 0.8286 0.6636
S: 0.5000 0.5000 0.5000

Values from the calculation:
Space-group type   C2/m (12)
Crystal system   monoclinic
Formation energy without anion corrections   -1.589 eV/atom